! DyMoP2Rh5, relaxed, DFT PBE; values from VASP
! - final energy (eV per atom) = -7.260
! - DOS at the Fermi energy (states/eV/cell) = 4.891
! - mass density (Mg/m³) = 8.50
! - DFT formation energy (eV per atom) = -0.26
&SYSTEM
  ibrav = 0, nat = 9, ntyp = 4
/
ATOMIC_SPECIES
Dy 162.50 Dy.upf
Mo 95.94 Mo.upf
P 30.97 P.upf
Rh 102.91 Rh.upf
CELL_PARAMETERS angstrom
3.965 0.000 0.000
0.000 3.965 0.000
0.000 0.000 10.373
ATOMIC_POSITIONS crystal
Dy 0.500 0.500 0.500
Mo 0.000 0.000 0.000
P 0.000 0.000 0.716
P 0.000 0.000 0.284
Rh 0.000 0.000 0.500
Rh 0.000 0.500 0.837
Rh 0.500 0.000 0.163
Rh 0.000 0.500 0.163
Rh 0.500 0.000 0.837